Record 1
The following is a DFT calculation (PBE) of ScTi2HgN after structural relaxation. Values from VASP.

Properties
The raw formation energy is -917 meV per atom. The total magnetization comes out at 0.0 μB per cell.

```
&SYSTEM
  ibrav = 0, nat = 5, ntyp = 4
/
ATOMIC_SPECIES
Ti 47.87 Ti.upf
Sc 44.96 Sc.upf
N 14.01 N.upf
Hg 200.59 Hg.upf
ATOMIC_POSITIONS angstrom
Ti 2.0979 0.0000 0.0000
Ti 0.0000 2.0979 0.0000
Sc 0.0000 0.0000 2.2129
N 0.0000 0.0000 0.0000
Hg 2.0979 2.0979 2.2129
CELL_PARAMETERS angstrom
4.1957 0.0000 0.0000
0.0000 4.1957 0.0000
0.0000 0.0000 4.4259
```


Record 2
The following is a DFT calculation (PBE) of ScTiHgN2 after structural relaxation. Values from VASP.

Properties
The raw formation energy is 502 meV per atom. The total magnetization comes out at 0.0 μB per cell.

```
&SYSTEM
  ibrav = 0, nat = 5, ntyp = 4
/
ATOMIC_SPECIES
Ti 47.87 Ti.upf
N 14.01 N.upf
Sc 44.96 Sc.upf
Hg 200.59 Hg.upf
ATOMIC_POSITIONS angstrom
Ti 0.0000 0.0000 0.0000
N -0.5564 1.4908 -1.2113
N 0.8820 1.3186 1.2178
Sc -2.3912 0.2738 1.4353
Hg -2.0656 3.0832 1.4418
CELL_PARAMETERS angstrom
-1.1128 2.9817 -2.4226
-4.7824 0.5476 2.8707
1.7639 2.6372 2.4355
```


Record 3
The following is a DFT calculation (PBE) of ScTl2HgN after structural relaxation. Values from VASP.

Properties
The raw formation energy is 1486 meV per atom. The total magnetization comes out at 0.0 μB per cell.

```
&SYSTEM
  ibrav = 0, nat = 5, ntyp = 4
/
ATOMIC_SPECIES
Tl 204.38 Tl.upf
Hg 200.59 Hg.upf
Sc 44.96 Sc.upf
N 14.01 N.upf
ATOMIC_POSITIONS angstrom
Tl 2.7243 0.0000 0.0000
Tl 0.0000 0.0000 2.7243
Hg 0.0000 0.0000 0.0000
Sc 0.0000 2.7506 0.0000
N 2.7243 2.7506 2.7243
CELL_PARAMETERS angstrom
5.4487 0.0000 0.0000
0.0000 5.5012 0.0000
0.0000 0.0000 5.4487
```


Record 4
The following is a DFT calculation (PBE) of Sc4TlHgN after structural relaxation. Values from VASP.

Properties
The raw formation energy is -742 meV per atom. The total magnetization comes out at 0.0 μB per cell.

```
&SYSTEM
  ibrav = 0, nat = 14, ntyp = 4
/
ATOMIC_SPECIES
Hg 200.59 Hg.upf
Sc 44.96 Sc.upf
N 14.01 N.upf
Tl 204.38 Tl.upf
ATOMIC_POSITIONS angstrom
Hg -4.5638 3.4917 0.3918
Hg -4.8620 -1.2585 -3.1455
Sc -4.7129 1.1166 -1.3769
Sc -2.1750 2.9955 -1.2931
Sc -4.8319 3.9930 -2.7317
Sc -2.0949 2.7469 1.8551
Sc -2.0874 0.3021 -3.0929
Sc -7.3384 1.9311 0.3392
Sc -4.6328 0.8680 1.7714
Sc -4.5940 -1.7598 -0.0220
N -3.4800 2.1749 -2.9096
N -5.9458 0.0582 0.1559
Tl -7.2060 1.8938 -2.8370
Tl -2.2198 0.3393 0.0833
CELL_PARAMETERS angstrom
-0.1602 0.4971 -6.2965
-5.0758 -3.7578 -0.1675
-4.1898 5.4939 3.7103
```


Record 5
The following is a DFT calculation (PBE) of TmSc2HgN after structural relaxation. Values from VASP.

Properties
The raw formation energy is -1039 meV per atom. The total magnetization comes out at 0.0 μB per cell.

```
&SYSTEM
  ibrav = 0, nat = 5, ntyp = 4
/
ATOMIC_SPECIES
Sc 44.96 Sc.upf
Tm 168.93 Tm.upf
Hg 200.59 Hg.upf
N 14.01 N.upf
ATOMIC_POSITIONS angstrom
Sc -0.0532 -1.9005 -1.1818
Sc 1.6782 -0.8159 1.2367
Tm -1.5498 -0.8965 1.5116
Hg 0.0752 -3.6130 1.5665
N 0.0000 0.0000 0.0000
CELL_PARAMETERS angstrom
-3.0995 -1.7930 3.0231
-0.1064 -3.8011 -2.3635
3.3564 -1.6319 2.4733
```


Record 6
The following is a DFT calculation (PBE) of Tm2ScHgN after structural relaxation. Values from VASP.

Properties
The raw formation energy is -1005 meV per atom. The total magnetization comes out at 0.0 μB per cell.

```
&SYSTEM
  ibrav = 0, nat = 5, ntyp = 4
/
ATOMIC_SPECIES
Tm 168.93 Tm.upf
Sc 44.96 Sc.upf
Hg 200.59 Hg.upf
N 14.01 N.upf
ATOMIC_POSITIONS angstrom
Tm -0.4367 -2.3175 -0.0797
Tm 0.8824 -0.0911 -2.1865
Sc -2.0293 0.4112 -0.8361
Hg -1.5836 -1.9974 -3.1023
N 0.0000 0.0000 0.0000
CELL_PARAMETERS angstrom
-4.0586 0.8223 -1.6722
1.7648 -0.1822 -4.3730
-0.8734 -4.6350 -0.1594
```


Record 7
The following is a DFT calculation (PBE) of Sc2VHgN after structural relaxation. Values from VASP.

Properties
The raw formation energy is -857 meV per atom. The total magnetization comes out at 1.2 μB per cell.

```
&SYSTEM
  ibrav = 0, nat = 5, ntyp = 4
/
ATOMIC_SPECIES
Hg 200.59 Hg.upf
N 14.01 N.upf
Sc 44.96 Sc.upf
V 50.94 V.upf
ATOMIC_POSITIONS angstrom
Hg -0.6869 2.4721 2.7377
N 0.0000 0.0000 0.0000
Sc -0.0163 -0.4094 2.2084
Sc -1.8293 1.2839 0.2245
V 1.1587 1.5976 0.3048
CELL_PARAMETERS angstrom
-3.6586 2.5678 0.4490
-0.0327 -0.8189 4.4169
2.3174 3.1953 0.6095
```


Record 8
The following is a DFT calculation (PBE) of YSc2HgN after structural relaxation. Values from VASP.

Properties
The raw formation energy is -1014 meV per atom. The total magnetization comes out at 0.0 μB per cell.

```
&SYSTEM
  ibrav = 0, nat = 5, ntyp = 4
/
ATOMIC_SPECIES
Y 88.91 Y.upf
Sc 44.96 Sc.upf
N 14.01 N.upf
Hg 200.59 Hg.upf
ATOMIC_POSITIONS angstrom
Y 0.0000 0.0000 2.3848
Sc 2.2459 0.0000 0.0000
Sc 0.0000 2.2459 0.0000
N 0.0000 0.0000 0.0000
Hg 2.2459 2.2459 2.3848
CELL_PARAMETERS angstrom
4.4918 0.0000 0.0000
0.0000 4.4918 0.0000
0.0000 0.0000 4.7697
```


Record 9
The following is a DFT calculation (PBE) of Y2ScHgN after structural relaxation. Values from VASP.

Properties
The raw formation energy is -977 meV per atom. The total magnetization comes out at 0.0 μB per cell.

```
&SYSTEM
  ibrav = 0, nat = 5, ntyp = 4
/
ATOMIC_SPECIES
Sc 44.96 Sc.upf
Y 88.91 Y.upf
N 14.01 N.upf
Hg 200.59 Hg.upf
ATOMIC_POSITIONS angstrom
Sc 0.0000 0.0000 2.2275
Y 0.0000 2.4161 0.0000
Y 2.4161 0.0000 0.0000
N 0.0000 0.0000 0.0000
Hg 2.4161 2.4161 2.2275
CELL_PARAMETERS angstrom
4.8322 0.0000 0.0000
0.0000 4.8322 0.0000
0.0000 0.0000 4.4549
```


Record 10
The following is a DFT calculation (PBE) of Hg2SeN after structural relaxation. Values from VASP.

Properties
The energy above the most stable polymorph in this dataset comes out at 0.0 meV per atom. The raw formation energy is 692 meV per atom. The total magnetization comes out at 0.0 μB per cell.

```
&SYSTEM
  ibrav = 0, nat = 8, ntyp = 3
/
ATOMIC_SPECIES
Hg 200.59 Hg.upf
Se 78.96 Se.upf
N 14.01 N.upf
ATOMIC_POSITIONS angstrom
Hg -0.5544 -1.6223 -4.6352
Hg -1.8979 1.4539 -3.6492
Hg -3.6145 -1.1899 -6.6812
Hg -3.8327 -0.2109 -10.0329
Se 0.0000 0.0000 0.0000
Se -3.2710 1.4834 -6.0521
N -1.6787 -2.2680 -6.4472
N 0.0451 0.4478 -4.0696
CELL_PARAMETERS angstrom
-1.5472 4.1991 -3.6745
1.6374 -3.3036 -4.4647
-5.0399 -1.6801 -4.3601
```


Record 11
The following is a DFT calculation (PBE) of Hg3SeN after structural relaxation. Values from VASP.

Properties
The energy above the most stable polymorph in this dataset comes out at 0.0 meV per atom. The raw formation energy is 385 meV per atom. The total magnetization comes out at 0.0 μB per cell.

```
&SYSTEM
  ibrav = 0, nat = 10, ntyp = 3
/
ATOMIC_SPECIES
Se 78.96 Se.upf
Hg 200.59 Hg.upf
N 14.01 N.upf
ATOMIC_POSITIONS angstrom
Se -2.2178 -0.4787 -2.1257
Se -1.9650 -6.9085 -5.7932
Hg 3.6251 -10.1800 0.4635
Hg -3.3010 -2.6889 -5.7103
Hg 0.5382 -7.7311 -0.7272
Hg -0.6639 -8.0648 -3.9772
Hg 3.0308 -14.6459 -3.1420
Hg -0.8816 -4.6989 -2.2095
N 1.6125 -13.8801 -4.5573
N 0.7548 -8.8305 -2.5626
CELL_PARAMETERS angstrom
-1.7962 -4.8003 -6.8559
6.5496 -15.3229 0.8003
-3.4983 3.5789 1.1571
```


Record 12
The following is a DFT calculation (PBE) of HgSeN after structural relaxation. Values from VASP.

Properties
The energy above the most stable polymorph in this dataset comes out at 69.6 meV per atom. The raw formation energy is 732 meV per atom. The total magnetization comes out at 0.0 μB per cell.

```
&SYSTEM
  ibrav = 0, nat = 6, ntyp = 3
/
ATOMIC_SPECIES
Se 78.96 Se.upf
N 14.01 N.upf
Hg 200.59 Hg.upf
ATOMIC_POSITIONS angstrom
Se -1.3618 3.9453 4.1284
Se 0.4354 0.3627 2.6460
N -2.6651 -1.7470 0.6497
N 1.7028 -2.6203 0.3999
Hg 2.7016 -1.2964 2.1537
Hg 1.2742 1.6434 5.1446
CELL_PARAMETERS angstrom
-2.3227 5.6873 5.1064
-2.3585 -2.9882 -0.6181
4.9023 -3.9612 0.5240
```